# PBE KLi2HoB2O6, optimized geometry
data_KLi2HoB2O6
_chemical_formula_sum 'K4 Li8 Ho4 B8 O24'
_symmetry_space_group_name_H-M 'P 1 21/c 1'
_symmetry_Int_Tables_number 14
_cell_length_a 6.640
_cell_length_b 9.283
_cell_length_c 9.913
_cell_angle_alpha 90.00
_cell_angle_beta 118.27
_cell_angle_gamma 90.00
loop_
_symmetry_equiv_pos_as_xyz
'x,y,z'
'-x,-y,-z'
'-x,y+1/2,-z+1/2'
'x,-y+1/2,z+1/2'
loop_
_atom_site_label
_atom_site_type_symbol
_atom_site_fract_x
_atom_site_fract_y
_atom_site_fract_z
K1 K 0.161 0.125 0.087
Li1 Li 0.367 0.115 0.450
Li2 Li 0.424 0.616 0.506
Ho1 Ho 0.195 0.617 0.158
B1 B 0.114 0.141 0.762
B2 B 0.416 0.630 0.784
O1 O 0.003 0.106 0.606
O2 O 0.093 0.226 0.317
O3 O 0.259 0.035 0.859
O4 O 0.287 0.651 0.628
O5 O 0.451 0.749 0.876
O6 O 0.491 0.503 0.149
# uncorrected energy = -6.976 eV per atom
# total magnetization = 0.02 μB/cell



# PBE SrLiHg, optimized geometry
data_SrLiHg
_chemical_formula_sum 'Sr4 Li4 Hg4'
_symmetry_space_group_name_H-M 'F -4 3 m'
_symmetry_Int_Tables_number 216
_symmetry_space_group_name_Hall 'F -4 2 3'
_cell_length_a 7.517
_cell_length_b 7.517
_cell_length_c 7.517
_cell_angle_alpha 90.00
_cell_angle_beta 90.00
_cell_angle_gamma 90.00
loop_
_atom_site_label
_atom_site_type_symbol
_atom_site_fract_x
_atom_site_fract_y
_atom_site_fract_z
Sr1 Sr 0.000 0.000 0.000
Li1 Li 0.250 0.250 0.250
Hg1 Hg 0.250 0.250 0.750
# energy above the lowest structure with this stoichiometry = 1.29 eV/f.u.
# uncorrected energy = -1.246 eV per atom



# PBE TbCd, optimized geometry
data_TbCd
_chemical_formula_sum 'Tb1 Cd1'
_symmetry_space_group_name_H-M 'P m -3 m'
_symmetry_Int_Tables_number 221
_symmetry_space_group_name_Hall '-P 4 2 3'
_cell_length_a 3.739
_cell_length_b 3.739
_cell_length_c 3.739
_cell_angle_alpha 90.00
_cell_angle_beta 90.00
_cell_angle_gamma 90.00
loop_
_atom_site_label
_atom_site_type_symbol
_atom_site_fract_x
_atom_site_fract_y
_atom_site_fract_z
Tb1 Tb 0.000 0.000 0.000
Cd1 Cd 0.500 0.500 0.500
# uncorrected energy = -3.090 eV per atom
# total magnetization = 0.24 μB/cell
# DFT formation energy = -0.328 eV/atom



# PBE BeNbMoAs, optimized geometry
data_BeNbMoAs
_chemical_formula_sum 'Be4 Nb4 Mo4 As4'
_symmetry_space_group_name_H-M 'F -4 3 m'
_symmetry_Int_Tables_number 216
_symmetry_space_group_name_Hall 'F -4 2 3'
_cell_length_a 6.138
_cell_length_b 6.138
_cell_length_c 6.138
_cell_angle_alpha 90.00
_cell_angle_beta 90.00
_cell_angle_gamma 90.00
loop_
_atom_site_label
_atom_site_type_symbol
_atom_site_fract_x
_atom_site_fract_y
_atom_site_fract_z
Be1 Be 0.000 0.000 0.000
Nb1 Nb 0.250 0.250 0.250
Mo1 Mo 0.250 0.250 0.750
As1 As 0.000 0.000 0.500
# energy above the lowest structure with this stoichiometry = 0.00 eV/f.u.
# uncorrected energy = -7.245 eV per atom
# total magnetization = 0.00 μB/cell



# PBE Dy2Er3Lu2Te2Pd2, optimized geometry
data_Dy2Er3Lu2Te2Pd2
_chemical_formula_sum 'Dy4 Er6 Lu4 Te4 Pd4'
_symmetry_space_group_name_H-M 'I m m 2'
_symmetry_Int_Tables_number 44
_cell_length_a 3.909
_cell_length_b 15.552
_cell_length_c 9.618
_cell_angle_alpha 90.00
_cell_angle_beta 90.00
_cell_angle_gamma 90.00
loop_
_symmetry_equiv_pos_as_xyz
'x,y,z'
'-x,-y,z'
'-x,y,z'
'x,-y,z'
'x+1/2,y+1/2,z+1/2'
'-x+1/2,-y+1/2,z+1/2'
'-x+1/2,y+1/2,z+1/2'
'x+1/2,-y+1/2,z+1/2'
loop_
_atom_site_label
_atom_site_type_symbol
_atom_site_fract_x
_atom_site_fract_y
_atom_site_fract_z
Dy1 Dy 0.000 0.130 0.000
Er1 Er 0.000 0.000 0.419
Er2 Er 0.000 0.317 0.793
Lu1 Lu 0.000 0.357 0.151
Te1 Te 0.000 0.000 0.753
Te2 Te 0.000 0.500 0.655
Pd1 Pd 0.000 0.234 0.491
# energy above the lowest structure with this stoichiometry = 0.14 eV/f.u.
# uncorrected energy = -5.258 eV per atom
# total magnetization = 0.03 μB/cell



# PBE BeZnSiPt, optimized geometry
data_BeZnSiPt
_chemical_formula_sum 'Be4 Zn4 Si4 Pt4'
_symmetry_space_group_name_H-M 'F -4 3 m'
_symmetry_Int_Tables_number 216
_symmetry_space_group_name_Hall 'F -4 2 3'
_cell_length_a 5.975
_cell_length_b 5.975
_cell_length_c 5.975
_cell_angle_alpha 90.00
_cell_angle_beta 90.00
_cell_angle_gamma 90.00
loop_
_atom_site_label
_atom_site_type_symbol
_atom_site_fract_x
_atom_site_fract_y
_atom_site_fract_z
Be1 Be 0.000 0.000 0.000
Zn1 Zn 0.250 0.250 0.750
Si1 Si 0.250 0.250 0.250
Pt1 Pt 0.000 0.000 0.500
# energy above the lowest structure with this stoichiometry = 0.38 eV/f.u.
# uncorrected energy = -4.112 eV per atom
# total magnetization = 0.00 μB/cell



# PBE TbGdFe2Sn, optimized geometry
data_TbGdFe2Sn
_chemical_formula_sum 'Tb2 Gd2 Fe4 Sn2'
_symmetry_space_group_name_H-M 'A m m 2'
_symmetry_Int_Tables_number 38
_cell_length_a 3.844
_cell_length_b 3.886
_cell_length_c 13.997
_cell_angle_alpha 90.00
_cell_angle_beta 90.00
_cell_angle_gamma 90.00
loop_
_symmetry_equiv_pos_as_xyz
'x,y,z'
'-x,-y,z'
'-x,y,z'
'x,-y,z'
'x,y+1/2,z+1/2'
'-x,-y+1/2,z+1/2'
'-x,y+1/2,z+1/2'
'x,-y+1/2,z+1/2'
loop_
_atom_site_label
_atom_site_type_symbol
_atom_site_fract_x
_atom_site_fract_y
_atom_site_fract_z
Tb1 Tb 0.000 0.000 0.000
Gd1 Gd 0.000 0.000 0.269
Fe1 Fe 0.500 0.000 0.431
Fe2 Fe 0.500 0.000 0.839
Sn1 Sn 0.500 0.000 0.634
# uncorrected energy = -6.258 eV per atom
# total magnetization = 6.07 μB/cell



# PBE Al2Cd2In, optimized geometry
data_Al2Cd2In
_chemical_formula_sum 'Al4 Cd4 In2'
_symmetry_space_group_name_H-M 'I 4/m m m'
_symmetry_Int_Tables_number 139
_symmetry_space_group_name_Hall '-I 4 2'
_cell_length_a 4.158
_cell_length_b 4.158
_cell_length_c 12.994
_cell_angle_alpha 90.00
_cell_angle_beta 90.00
_cell_angle_gamma 90.00
loop_
_atom_site_label
_atom_site_type_symbol
_atom_site_fract_x
_atom_site_fract_y
_atom_site_fract_z
Al1 Al 0.000 0.500 0.250
Cd1 Cd 0.000 0.000 0.107
In1 In 0.000 0.000 0.500
# energy above the lowest structure with this stoichiometry = 0.00 eV/f.u.
# uncorrected energy = -2.242 eV per atom



- uncorrected energy of number 4 (BeNbMoAs)?
  -7.245 eV per atom